Record 1
Compound: BeTlAu2
Source: Alexandria via LeMat-Bulk
Functional: PBE-GGA
Structure: relaxed

Geometry as extended XYZ:
```
4
Lattice="-1.0657 -3.4402 0.1964 0.9453 -0.4603 -2.9336 6.2912 -1.8168 2.3148" Properties=species:S:1:pos:R:3 pbc="T T T"
Au 0.4032 -0.1398 -0.2617
Tl 4.8747 -3.3986 0.0391
Au 2.0182 -2.4803 0.6255
Be 2.4930 -0.8371 -1.1346
```

## Properties
Formation energy (eV per atom): 0.013
Total magnetization (μB per cell): 0.0
Raw total energy (eV per atom): -3.1483
Distance to the lowest polymorph of the same formula (meV per atom): 17
Symmetry: Pmm2, No. 25

***

Record 2
Compound: K2NpMnN4
Source: Alexandria via LeMat-Bulk
Functional: PBE-GGA
Structure: relaxed

Geometry as extended XYZ:
```
16
Lattice="-0.9462 0.4984 -5.0518 -6.2642 -4.9823 0.6818 -3.8835 5.0504 1.2256" Properties=species:S:1:pos:R:3 pbc="T T T"
N -1.2877 -0.5888 -1.6542
N -3.4590 0.3869 -4.2385
Mn -1.0116 -0.7972 0.0794
N -6.0394 -2.1633 -1.3676
N -7.9202 0.2827 -0.7741
Np -3.4110 2.5250 -4.0417
K -5.7272 -1.4752 -4.0566
K -3.7925 -0.2900 -1.6630
N -8.0500 -1.2722 -3.0941
N -2.7270 2.4729 -1.6598
N -6.8178 -4.2249 -4.1935
Np -6.0893 -4.3003 -1.5743
K -7.7987 1.2187 -3.4029
N -5.4617 2.9913 -3.6064
Mn -7.6787 -1.4049 -1.3709
K -5.6045 2.0665 -1.0912
```

## Properties
ΔE_f (raw) (meV/atom): -313
Total magnetization (μB per cell): 8.0
Raw total energy (eV per atom): -7.5136
Symmetry: Pmn2_1, No. 31

***

Record 3
Compound: Er2Ga4Ir3
Source: Alexandria via LeMat-Bulk
Functional: PBE-GGA
Structure: relaxed

Geometry as extended XYZ:
```
9
Lattice="5.4911 -0.1178 0.0000 -2.6563 4.8073 0.0000 -1.4174 -2.3448 6.2990" Properties=species:S:1:pos:R:3 pbc="T T T"
Er 0.0000 0.0000 4.7336
Er 1.4174 2.3448 1.5653
Ga -1.2790 3.9747 2.0546
Ga 2.6964 -1.6300 4.2443
Ir -1.3282 2.4037 0.0000
Ir 0.0000 0.0000 0.0000
Ir 2.7456 -0.0589 0.0000
Ga 4.1138 0.7148 2.0546
Ga -2.6964 1.6300 4.2443
```

## Properties
Formation energy (eV per atom): -0.634
Total magnetization (μB per cell): 0.0
Raw total energy (eV per atom): -5.9472
Symmetry: Fmmm, No. 69

***

Record 4
Compound: Al2OsSe
Source: Alexandria via LeMat-Bulk
Functional: PBE-GGA
Structure: relaxed

Geometry as extended XYZ:
```
4
Lattice="-0.1474 3.8018 -3.1745 -2.6424 -1.2489 -4.0014 -0.4027 0.4879 4.9145" Properties=species:S:1:pos:R:3 pbc="T T T"
Al -0.0078 0.0071 -0.0200
Al -1.3871 1.2694 -3.5680
Se -2.2200 0.2578 -1.3374
Os -0.9725 2.7831 -0.9239
```

## Properties
ΔE_f (raw) (meV/atom): 57
Total magnetization (μB per cell): 0.0
Raw total energy (eV per atom): -5.4927
Symmetry: Immm, No. 71

***

Record 5
Compound: MgTePd
Source: Alexandria via LeMat-Bulk
Functional: PBE-GGA
Structure: relaxed

Geometry as extended XYZ:
```
6
Lattice="-2.0502 4.0417 0.7182 -4.8368 1.3821 -6.8885 -1.6714 -3.9138 1.9711" Properties=species:S:1:pos:R:3 pbc="T T T"
Mg -6.6984 -1.7647 -4.7144
Mg -3.2305 1.8281 -0.2654
Pd -1.7243 0.3386 -1.9538
Te -6.4169 3.7616 -4.6481
Pd -2.3292 -0.6945 1.0626
Te -3.9667 -1.0498 -1.0321
```

## Properties
ΔE_f (raw) (meV/atom): -567
Total magnetization (μB per cell): 0.0
Raw total energy (eV per atom): -3.8767
Symmetry: P1, No. 1